(a)
DFT (SCAN) results for a crystal of Mn2CuMo relaxed with PBEsol.

a = 3.3519 Å, b = 3.7960 Å, c = 3.7960 Å
α = 90.00°, β = 90.00°, γ = 90.00°
Each line ends with the local moment (μB).
Atoms (fractional coordinates):
Cu 0.5000 0.0000 0.0000  -0.01
Mn 0.0000 0.0000 0.5000  2.24
Mn 0.0000 0.5000 0.0000  2.24
Mo 0.5000 0.5000 0.5000  -1.34

## Properties
For the calculated volume, the calculation gives 48.3 Å³ per cell.

(b)
DFT (SCAN) results for a crystal of Mn2CuMo relaxed with PBEsol.

a = 2.5356 Å, b = 4.3874 Å, c = 4.5712 Å
α = 96.65°, β = 90.00°, γ = 106.80°
Each line ends with the local moment (μB).
Atoms (fractional coordinates):
Cu 0.5000 0.0000 0.0000  0.03
Mn 0.7570 0.5140 0.7666  2.67
Mn 0.2430 0.4860 0.2334  2.67
Mo 0.0000 0.0000 0.5000  -0.70

## Properties
For the calculated volume, the calculation gives 48.3 Å³ per cell.

Which structure wins on stability? (a) wins.

(a)
DFT (SCAN) results for a crystal of MnCu2Os relaxed with PBEsol.

a = 3.6779 Å, b = 3.6779 Å, c = 4.4042 Å
α = 114.68°, β = 114.68°, γ = 90.00°
Each line ends with the local moment (μB).
Atoms (fractional coordinates):
Cu 0.0000 0.0000 0.0000  0.01
Cu 0.7500 0.2500 0.5000  0.04
Mn 0.5000 0.5000 0.0000  3.04
Os 0.2500 0.7500 0.5000  -0.30

## Properties
For the calculated volume, the calculation gives 48.1 Å³ per cell.

(b)
DFT (SCAN) results for a crystal of MnCu2Os relaxed with PBEsol.

a = 2.7508 Å, b = 4.2014 Å, c = 4.3005 Å
α = 90.00°, β = 90.00°, γ = 90.00°
Each line ends with the local moment (μB).
Atoms (fractional coordinates):
Cu 0.0000 0.0000 0.0000  0.11
Cu 0.5000 0.5000 0.0000  0.04
Mn 0.5000 0.0000 0.5000  3.54
Os 0.0000 0.5000 0.5000  -0.03

## Properties
For the calculated volume, the calculation gives 49.7 Å³ per cell.

(c)
DFT (SCAN) results for a crystal of MnCu2Os relaxed with PBEsol.

a = 2.5188 Å, b = 4.6199 Å, c = 5.0087 Å
α = 115.80°, β = 101.77°, γ = 95.91°
Each line ends with the local moment (μB).
Atoms (fractional coordinates):
Cu 0.0000 0.0000 0.5000  0.10
Cu 0.5000 0.5000 0.5000  0.10
Mn 0.5000 0.0000 0.0000  3.61
Os 0.0000 0.5000 0.0000  0.09

## Properties
For the calculated volume, the calculation gives 50.1 Å³ per cell.

Which structure wins on stability? (a) wins.